The following is a SCAN calculation of Mg2ScRh at its PBEsol-relaxed geometry, from Alexandria.

Cell lengths 3.181, 3.181, 7.579 Å; angles 90.00, 90.00, 90.00 degrees
Space group P4mm (No. 99)
Symmetry-distinct sites (fractional):
Mg: 0.000 0.000 0.000
Mg: 0.500 0.500 0.288
Sc: 0.500 0.500 0.687
Rh: 0.000 0.000 0.496

Values from the calculation:
- DFT formation energy: -0.53 eV per atom